! TiV2O6, relaxed, DFT GGA+U; values from VASP
&SYSTEM
  ibrav = 0, nat = 9, ntyp = 3
/
ATOMIC_SPECIES
V 50.94 V.upf
Ti 47.87 Ti.upf
O 16.00 O.upf
CELL_PARAMETERS angstrom
3.2094 0.0000 0.0000
-1.6047 5.1117 -0.1100
0.0000 0.5098 7.1432
ATOMIC_POSITIONS crystal
V 0.2707 0.5415 0.8178
V 0.7293 0.4585 0.1822
Ti 0.0000 0.0000 0.5000
O 0.5840 0.1680 0.3695
O 0.8298 0.6596 0.9258
O 0.8605 0.7210 0.3234
O 0.1702 0.3404 0.0742
O 0.1395 0.2790 0.6766
O 0.4160 0.8320 0.6305
! Space-group type: No. 12
! Crystal system: monoclinic
! Uncorrected energy in eV for the cell shown: -72.72